MgAgW2 | PBE | relaxed

Properties
The calculation puts the formation energy at 0.6131 eV/atom. As for the symmetry: R-3m.

```
MgAgW2
1.0
1.411 0.815 9.891
-1.411 0.815 9.891
0.000 -1.629 9.891
Mg Ag W
1 1 2
direct
0.000 0.000 0.000
0.500 0.500 0.500
0.250 0.250 0.250
0.750 0.750 0.750
```


MgAgW2 | PBE | relaxed

Properties
The calculation puts the formation energy at 0.3880 eV/atom. As for the symmetry: P4mm.

```
MgAgW2
1.0
3.293 0.000 0.000
0.000 3.293 0.000
0.000 0.000 6.479
Mg Ag W
1 1 2
direct
0.000 0.000 0.000
0.500 0.500 0.767
0.000 0.000 0.471
0.500 0.500 0.287
```


MgAgW2 | PBE | relaxed

Properties
The calculation puts the formation energy at 0.4584 eV/atom. As for the symmetry: Immm.

```
MgAgW2
1.0
-1.615 2.146 4.865
1.615 -2.146 4.865
1.615 2.146 -4.865
Mg Ag W
1 1 2
direct
0.000 0.000 0.000
0.500 0.500 0.000
0.255 0.755 0.500
0.745 0.245 0.500
```


Mg2AgW | PBE | relaxed

Properties
The offset from the most stable computed form is 478.6 meV/atom. The calculation puts the formation energy at 0.6509 eV/atom. As for the symmetry: Fm-3m.

```
Mg2AgW
1.0
0.000 3.307 3.307
3.307 0.000 3.307
3.307 3.307 0.000
Mg Ag W
2 1 1
direct
0.250 0.250 0.250
0.750 0.750 0.750
0.000 0.000 0.000
0.500 0.500 0.500
```


MgAgW2 | PBE | relaxed

Properties
The calculation puts the formation energy at 0.5911 eV/atom. As for the symmetry: P4/mmm.

```
MgAgW2
1.0
2.713 0.000 0.000
0.000 2.713 0.000
0.000 0.000 9.173
Mg Ag W
1 1 2
direct
0.000 0.000 0.000
0.000 0.000 0.500
0.500 0.500 0.250
0.500 0.500 0.750
```


MgAgW2 | PBE | relaxed

Properties
The calculation puts the formation energy at 0.4522 eV/atom. As for the symmetry: Pmm2.

```
MgAgW2
1.0
2.705 0.000 0.000
0.000 4.299 0.000
0.000 0.000 5.910
Mg Ag W
1 1 2
direct
0.000 0.000 0.000
0.500 0.500 0.781
0.000 0.000 0.489
0.500 0.500 0.285
```


Mg2AgW | PBE | relaxed

Properties
The offset from the most stable computed form is 227.0 meV/atom. The calculation puts the formation energy at 0.3993 eV/atom. As for the symmetry: Pmmm.

```
Mg2AgW
1.0
2.831 0.000 0.000
0.000 4.131 0.000
0.000 0.000 6.083
Mg Ag W
2 1 1
direct
0.000 0.000 0.245
0.000 0.000 0.755
0.500 0.500 0.500
0.500 0.500 0.000
```


MgAgW2 | PBE | relaxed

Properties
The calculation puts the formation energy at 0.8615 eV/atom. As for the symmetry: I-42d.

```
MgAgW2
1.0
-1.870 1.870 10.382
1.870 -1.870 10.382
1.870 1.870 -10.382
Mg Ag W
2 2 4
direct
0.000 0.000 0.000
0.750 0.250 0.500
0.250 0.750 0.500
0.500 0.500 0.000
0.120 0.625 0.995
0.375 0.370 0.495
0.630 0.125 0.005
0.875 0.880 0.505
```


Q: Among the records above, which one has the lowest formation energy?
A: number 2